# LaVPO2 (GGA+U, relaxed)
data_LaVPO2
_chemical_formula_sum 'La1 V1 P1 O2'
_cell_length_a 4.013
_cell_length_b 4.013
_cell_length_c 4.820
_cell_angle_alpha 90.00
_cell_angle_beta 90.00
_cell_angle_gamma 90.00
_symmetry_space_group_name_H-M 'P 4/m m m'
_symmetry_Int_Tables_number 123
_symmetry_space_group_name_Hall '-P 4 2'
loop_
_atom_site_label
_atom_site_type_symbol
_atom_site_fract_x
_atom_site_fract_y
_atom_site_fract_z
La1 La 0.000 0.000 0.000
V1 V 0.500 0.500 0.500
P1 P 0.500 0.500 0.000
O1 O 0.000 0.500 0.500
# - excess energy over the best structure of this formula in the dataset (eV/atom) = 0.0000
# - calculated total energy (eV per formula unit) = -35.70

---

# LaVPO2 (GGA+U, relaxed)
data_LaVPO2
_chemical_formula_sum 'La1 V1 P1 O2'
_cell_length_a 4.177
_cell_length_b 4.177
_cell_length_c 6.594
_cell_angle_alpha 90.00
_cell_angle_beta 90.00
_cell_angle_gamma 90.00
_symmetry_space_group_name_H-M 'P 4/m m m'
_symmetry_Int_Tables_number 123
_symmetry_space_group_name_Hall '-P 4 2'
loop_
_atom_site_label
_atom_site_type_symbol
_atom_site_fract_x
_atom_site_fract_y
_atom_site_fract_z
La1 La 0.000 0.000 0.000
V1 V 0.500 0.500 0.500
P1 P 0.000 0.000 0.500
O1 O 0.000 0.500 0.000
# - excess energy over the best structure of this formula in the dataset (eV/atom) = 1.0301
# - calculated total energy (eV per formula unit) = -30.54

---

# LaVPO6 (GGA+U, relaxed)
data_LaVPO6
_chemical_formula_sum 'La1 V1 P1 O6'
_cell_length_a 4.9397
_cell_length_b 4.9397
_cell_length_c 5.1325
_cell_angle_alpha 90.00
_cell_angle_beta 90.00
_cell_angle_gamma 120.00
_symmetry_space_group_name_H-M 'P 3 1 2'
_symmetry_Int_Tables_number 149
loop_
_symmetry_equiv_pos_as_xyz
'x,y,z'
'-y,x-y,z'
'-x+y,-x,z'
'-y,-x,-z'
'-x+y,y,-z'
'x,x-y,-z'
loop_
_atom_site_label
_atom_site_type_symbol
_atom_site_fract_x
_atom_site_fract_y
_atom_site_fract_z
La1 La 0.0000 0.0000 0.0000
V1 V 0.3333 0.6667 0.5000
P1 P 0.6667 0.3333 0.5000
O1 O 0.3995 0.0332 0.6956
# - calculated total energy (eV per formula unit) = -69.89

---

# LaP2WO (GGA+U, relaxed)
data_LaP2WO
_chemical_formula_sum 'La1 P2 W1 O1'
_cell_length_a 5.602
_cell_length_b 5.602
_cell_length_c 4.161
_cell_angle_alpha 90.00
_cell_angle_beta 90.00
_cell_angle_gamma 90.00
_symmetry_space_group_name_H-M 'P 4/m m m'
_symmetry_Int_Tables_number 123
_symmetry_space_group_name_Hall '-P 4 2'
loop_
_atom_site_label
_atom_site_type_symbol
_atom_site_fract_x
_atom_site_fract_y
_atom_site_fract_z
La1 La 0.000 0.000 0.000
P1 P 0.000 0.500 0.000
W1 W 0.500 0.500 0.500
O1 O 0.000 0.000 0.500
# - excess energy over the best structure of this formula in the dataset (eV/atom) = 1.4327
# - calculated total energy (eV per formula unit) = -25.66